! InReNi2 SCAN single point on PBEsol structure; values from VASP
! formation energy from the elements = 0.24 eV/atom
&SYSTEM
  ibrav = 0, nat = 4, ntyp = 3
/
ATOMIC_SPECIES
In 114.82 In.upf
Ni 58.69 Ni.upf
Re 186.21 Re.upf
CELL_PARAMETERS angstrom
-2.574 -0.399 0.777
1.160 -3.885 1.849
0.840 2.082 3.850
ATOMIC_POSITIONS crystal
In 0.500 0.000 0.000
Ni 0.000 0.000 0.500
Ni 0.000 0.500 0.000
Re 0.500 0.500 0.500

---

! InReNi2 SCAN single point on PBEsol structure; values from VASP
! formation energy from the elements = 0.20 eV/atom
&SYSTEM
  ibrav = 0, nat = 4, ntyp = 3
/
ATOMIC_SPECIES
In 114.82 In.upf
Ni 58.69 Ni.upf
Re 186.21 Re.upf
CELL_PARAMETERS angstrom
2.691 0.000 0.000
0.000 4.087 0.000
-1.345 0.000 4.916
ATOMIC_POSITIONS crystal
In 0.418 0.500 0.836
Ni 0.821 0.000 0.642
Ni 0.679 0.500 0.357
Re 0.094 0.000 0.189

---

! Ta2InReNi SCAN single point on PBEsol structure; values from VASP
! formation energy from the elements = 2.79 eV/atom
&SYSTEM
  ibrav = 0, nat = 5, ntyp = 4
/
ATOMIC_SPECIES
Re 186.21 Re.upf
In 114.82 In.upf
Ni 58.69 Ni.upf
Ta 180.95 Ta.upf
CELL_PARAMETERS angstrom
4.726 0.000 0.000
0.000 4.873 0.000
0.000 0.000 4.873
ATOMIC_POSITIONS crystal
Re 0.500 0.000 0.000
In 0.000 0.000 0.000
Ni 0.500 0.500 0.500
Ta 0.000 0.000 0.500
Ta 0.000 0.500 0.000

---

! In2NiRh SCAN single point on PBEsol structure; values from VASP
! formation energy from the elements = -0.02 eV/atom
&SYSTEM
  ibrav = 0, nat = 4, ntyp = 3
/
ATOMIC_SPECIES
In 114.82 In.upf
Ni 58.69 Ni.upf
Rh 102.91 Rh.upf
CELL_PARAMETERS angstrom
-0.711 -2.193 -2.015
-1.122 -2.675 0.980
-8.113 1.321 -0.901
ATOMIC_POSITIONS crystal
In 0.248 0.248 0.257
In 0.752 0.752 0.743
Ni 0.500 0.500 0.500
Rh 0.000 0.000 0.000

---

! In2NiRh SCAN single point on PBEsol structure; values from VASP
! formation energy from the elements = -0.02 eV/atom
&SYSTEM
  ibrav = 0, nat = 4, ntyp = 3
/
ATOMIC_SPECIES
In 114.82 In.upf
Ni 58.69 Ni.upf
Rh 102.91 Rh.upf
CELL_PARAMETERS angstrom
3.118 0.000 0.000
0.000 4.379 0.058
0.000 -2.061 4.801
ATOMIC_POSITIONS crystal
In 0.000 0.000 0.000
In 0.500 0.000 0.500
Ni 0.500 0.500 0.000
Rh 0.000 0.500 0.500

---

! InNi2Ru SCAN single point on PBEsol structure; values from VASP
! formation energy from the elements = 0.17 eV/atom
&SYSTEM
  ibrav = 0, nat = 4, ntyp = 3
/
ATOMIC_SPECIES
In 114.82 In.upf
Ni 58.69 Ni.upf
Ru 101.07 Ru.upf
CELL_PARAMETERS angstrom
2.753 0.000 0.000
-1.376 4.330 -0.009
0.000 -0.969 4.488
ATOMIC_POSITIONS crystal
In 0.747 0.494 0.232
Ni 0.994 0.988 0.986
Ni 0.251 0.503 0.741
Ru 0.508 0.016 0.541

---

! InNi2Ru SCAN single point on PBEsol structure; values from VASP
! formation energy from the elements = 0.19 eV/atom
&SYSTEM
  ibrav = 0, nat = 4, ntyp = 3
/
ATOMIC_SPECIES
In 114.82 In.upf
Ni 58.69 Ni.upf
Ru 101.07 Ru.upf
CELL_PARAMETERS angstrom
2.678 0.000 -0.056
0.000 4.089 0.000
-1.243 0.000 4.897
ATOMIC_POSITIONS crystal
In 0.204 0.500 0.785
Ni 0.812 0.000 0.001
Ni 0.947 0.500 0.267
Ru 0.536 0.000 0.446

---

! InNiRu2 SCAN single point on PBEsol structure; values from VASP
! formation energy from the elements = 0.20 eV/atom
&SYSTEM
  ibrav = 0, nat = 4, ntyp = 3
/
ATOMIC_SPECIES
In 114.82 In.upf
Ni 58.69 Ni.upf
Ru 101.07 Ru.upf
CELL_PARAMETERS angstrom
-2.063 -0.740 3.212
-3.158 -0.641 -2.176
3.512 -2.904 -0.767
ATOMIC_POSITIONS crystal
In 0.500 0.500 0.000
Ni 0.250 0.750 0.500
Ru 0.000 0.000 0.000
Ru 0.750 0.250 0.500

---

! InNiSn2Ru SCAN single point on PBEsol structure; values from VASP
! formation energy from the elements = 1.55 eV/atom
&SYSTEM
  ibrav = 0, nat = 5, ntyp = 4
/
ATOMIC_SPECIES
Ru 101.07 Ru.upf
Ni 58.69 Ni.upf
Sn 118.71 Sn.upf
In 114.82 In.upf
CELL_PARAMETERS angstrom
-0.968 1.555 4.151
-3.900 -3.587 0.434
3.430 -3.475 2.102
ATOMIC_POSITIONS crystal
Ru 0.500 0.500 0.500
Ni 0.500 0.000 0.000
Sn 0.000 0.000 0.500
Sn 0.000 0.500 0.000
In 0.000 0.000 0.000

---

! In2NiS4 SCAN single point on PBEsol structure; values from VASP
! E_form (uncorrected) = -0.614 eV/atom
&SYSTEM
  ibrav = 0, nat = 14, ntyp = 3
/
ATOMIC_SPECIES
In 114.82 In.upf
Ni 58.69 Ni.upf
S 32.06 S.upf
CELL_PARAMETERS angstrom
-3.534 -3.762 -5.162
2.708 -6.356 -2.382
-3.625 -6.096 1.763
ATOMIC_POSITIONS crystal
In 0.140 0.610 0.110
In 0.500 0.000 0.000
In 0.500 0.500 0.500
In 0.860 0.390 0.890
Ni 0.500 0.000 0.500
Ni 0.000 0.000 0.500
S 0.249 0.202 0.301
S 0.249 0.801 0.702
S 0.717 0.773 0.273
S 0.236 0.773 0.273
S 0.764 0.227 0.727
S 0.283 0.227 0.727
S 0.751 0.199 0.298
S 0.751 0.798 0.699

---

! In3NiS SCAN single point on PBEsol structure; values from VASP
! E_form (uncorrected) = -0.092 eV/atom
&SYSTEM
  ibrav = 0, nat = 5, ntyp = 3
/
ATOMIC_SPECIES
Ni 58.69 Ni.upf
S 32.06 S.upf
In 114.82 In.upf
CELL_PARAMETERS angstrom
-1.781 -2.372 -3.838
4.512 -0.911 -1.531
0.028 -4.132 2.541
ATOMIC_POSITIONS crystal
Ni 0.000 0.000 0.000
S 0.500 0.500 0.500
In 0.000 0.500 0.000
In 0.000 0.000 0.500
In 0.500 0.000 0.000

---

! In2Ni3S2 SCAN single point on PBEsol structure; values from VASP
! E_form (uncorrected) = -0.453 eV/atom
&SYSTEM
  ibrav = 0, nat = 7, ntyp = 3
/
ATOMIC_SPECIES
In 114.82 In.upf
Ni 58.69 Ni.upf
S 32.06 S.upf
CELL_PARAMETERS angstrom
-0.439 -3.417 -4.047
2.042 -4.889 0.417
-3.332 -4.241 0.452
ATOMIC_POSITIONS crystal
In 0.000 0.000 0.000
In 0.500 0.500 0.500
Ni 0.000 0.000 0.500
Ni 0.500 0.000 0.500
Ni 0.000 0.500 0.500
S 0.279 0.279 0.164
S 0.721 0.721 0.836

---

! ScInNi2S SCAN single point on PBEsol structure; values from VASP
! E_form (uncorrected) = 0.038 eV/atom
&SYSTEM
  ibrav = 0, nat = 5, ntyp = 4
/
ATOMIC_SPECIES
Sc 44.96 Sc.upf
Ni 58.69 Ni.upf
S 32.06 S.upf
In 114.82 In.upf
CELL_PARAMETERS angstrom
4.111 0.000 0.000
0.000 4.111 0.000
0.000 0.000 5.349
ATOMIC_POSITIONS crystal
Sc 0.500 0.500 0.500
Ni 0.000 0.500 0.000
Ni 0.500 0.000 0.000
S 0.000 0.000 0.000
In 0.000 0.000 0.500

---

! In2NiWS SCAN single point on PBEsol structure; values from VASP
! E_form (uncorrected) = 1.133 eV/atom
&SYSTEM
  ibrav = 0, nat = 5, ntyp = 4
/
ATOMIC_SPECIES
Ni 58.69 Ni.upf
S 32.06 S.upf
W 183.84 W.upf
In 114.82 In.upf
CELL_PARAMETERS angstrom
-1.004 2.427 2.880
1.021 -3.662 3.441
4.848 1.641 0.308
ATOMIC_POSITIONS crystal
Ni 0.500 0.000 0.000
S 0.000 0.000 0.000
W 0.500 0.500 0.500
In 0.000 0.000 0.500
In 0.000 0.500 0.000